VASP calculation (PBE-GGA) on crystalline AlMo2Os at its relaxed geometry.

density	11.1	g cm⁻³
formation energy	0.1099	eV per atom
total energy	-36.195	eV for the cell shown

Geometry as POSCAR:
```
AlMo2Os
1.0
-1.856 -1.156 1.622
1.373 -1.858 -1.441
6.032 -0.576 6.494
Mo Al Os
2 1 1
Cartesian
6.031 -0.576 6.493 Mo
3.017 -0.288 3.249 Mo
4.283 -1.939 4.961 Al
1.267 -1.651 1.714 Os
```


VASP calculation (PBE-GGA) on crystalline AlMoOs2 at its relaxed geometry.

density	14.0	g cm⁻³
formation energy	0.2291	eV per atom
total energy	-36.117	eV for the cell shown

Geometry as POSCAR:
```
AlMoOs2
1.0
-1.413 -2.257 0.573
2.706 -0.314 -0.013
0.275 2.015 8.611
Os Al Mo
2 1 1
Cartesian
0.717 -0.765 2.503 Os
0.275 2.014 8.607 Os
0.136 0.996 4.255 Al
0.852 0.223 6.723 Mo
```


VASP calculation (PBE-GGA) on crystalline AlMo2Os at its relaxed geometry.

density	11.2	g cm⁻³
formation energy	-0.0932	eV per atom
total energy	-37.008	eV for the cell shown

Geometry as POSCAR:
```
AlMo2Os
1.0
2.825 0.000 0.000
0.000 2.825 0.000
0.000 0.000 7.614
Mo Al Os
2 1 1
Cartesian
0.000 0.000 0.040 Mo
0.000 0.000 3.767 Mo
1.413 1.413 5.711 Al
1.413 1.413 1.904 Os
```